No. 1
Below is a relaxed structure of Nd2ScZnSe5, with properties calculated at the PBE level.

Computed properties:
Mass density in g cm⁻³: 6.10
Formation energy (no corrections) in eV/atom: -1.55

Cell: 9.057 9.057 12.237 Å, 90.00 90.00 154.52°
Sites, in units of the cell vectors:
Nd1 0.116 0.884 0.500
Nd2 0.132 0.868 0.124
Nd3 0.868 0.132 0.624
Nd4 0.884 0.116 0.000
Sc1 0.201 0.799 0.830
Sc2 0.799 0.201 0.330
Zn1 0.442 0.558 0.268
Zn2 0.558 0.442 0.768
Se1 0.049 0.951 0.879
Se2 0.287 0.713 0.482
Se3 0.310 0.690 0.173
Se4 0.354 0.646 0.817
Se5 0.497 0.503 0.593
Se6 0.503 0.497 0.093
Se7 0.646 0.354 0.317
Se8 0.690 0.310 0.673
Se9 0.713 0.287 0.982
Se10 0.951 0.049 0.379

No. 2
Below is a relaxed structure of Nd3ScSi2, with properties calculated at the PBE level.

Computed properties:
Mass density in g cm⁻³: 5.65
Formation energy (no corrections) in eV/atom: -0.51

Cell: 8.669 8.669 8.669 Å, 151.37 149.73 42.15°
Sites, in units of the cell vectors:
Nd1 0.000 0.000 0.000
Nd2 0.180 0.680 0.500
Nd3 0.820 0.320 0.500
Sc1 0.500 0.500 0.000
Si1 0.371 0.871 0.500
Si2 0.629 0.129 0.500

No. 3
Below is a relaxed structure of NdScSi4, with properties calculated at the PBE level.

Computed properties:
Mass density in g cm⁻³: 4.32
Formation energy (no corrections) in eV/atom: -0.47

Cell: 8.073 14.613 3.927 Å, 90.00 90.00 90.00°
Sites, in units of the cell vectors:
Nd1 0.121 0.142 0.000
Nd2 0.379 0.642 0.000
Nd3 0.621 0.358 0.000
Nd4 0.879 0.858 0.000
Sc1 0.136 0.412 0.000
Sc2 0.364 0.912 0.000
Sc3 0.636 0.088 0.000
Sc4 0.864 0.588 0.000
Si1 0.001 0.301 0.500
Si2 0.121 0.551 0.500
Si3 0.127 0.961 0.500
Si4 0.208 0.804 0.500
Si5 0.292 0.304 0.500
Si6 0.373 0.461 0.500
Si7 0.379 0.051 0.500
Si8 0.499 0.801 0.500
Si9 0.501 0.199 0.500
Si10 0.621 0.949 0.500
Si11 0.627 0.539 0.500
Si12 0.708 0.696 0.500
Si13 0.792 0.196 0.500
Si14 0.873 0.039 0.500
Si15 0.879 0.449 0.500
Si16 0.999 0.699 0.500

No. 4
Below is a relaxed structure of NdScSi, with properties calculated at the PBE level.

Computed properties:
Mass density in g cm⁻³: 4.94
Formation energy (no corrections) in eV/atom: -0.62
Offset from the most stable computed form in kJ/mol of atoms: 0.0

Cell: 8.500 8.500 8.500 Å, 150.76 150.76 41.83°
Sites, in units of the cell vectors:
Nd1 0.177 0.177 0.000
Nd2 0.823 0.823 0.000
Sc1 0.000 0.500 0.500
Sc2 0.500 0.000 0.500
Si1 0.378 0.378 0.000
Si2 0.622 0.622 0.000

No. 5
Below is a relaxed structure of Nd3ScSi4, with properties calculated at the PBE level.

Computed properties:
Mass density in g cm⁻³: 4.78
Formation energy (no corrections) in eV/atom: -0.58

Cell: 8.696 8.696 8.696 Å, 151.42 139.14 50.62°
Sites, in units of the cell vectors:
Nd1 0.000 0.000 0.000
Nd2 0.307 0.807 0.500
Nd3 0.693 0.193 0.500
Sc1 0.500 0.500 0.000
Si1 0.066 0.374 0.692
Si2 0.319 0.626 0.692
Si3 0.681 0.374 0.308
Si4 0.934 0.626 0.308

No. 6
Below is a relaxed structure of Nd5ScSi4, with properties calculated at the PBE level.

Computed properties:
Mass density in g cm⁻³: 5.47
Formation energy (no corrections) in eV/atom: -0.47

Cell: 8.252 8.252 6.840 Å, 91.11 91.11 34.91°
Sites, in units of the cell vectors:
Nd1 0.000 0.000 0.000
Nd2 0.333 0.333 0.492
Nd3 0.337 0.337 0.994
Nd4 0.663 0.663 0.006
Nd5 0.667 0.667 0.508
Sc1 0.000 0.000 0.500
Si1 0.172 0.172 0.751
Si2 0.493 0.493 0.721
Si3 0.507 0.507 0.279
Si4 0.828 0.828 0.249

No. 7
Below is a relaxed structure of NdSc2Si4, with properties calculated at the PBE level.

Computed properties:
Mass density in g cm⁻³: 4.30
Formation energy (no corrections) in eV/atom: -0.73

Cell: 8.953 8.953 8.953 Å, 155.35 153.39 36.58°
Sites, in units of the cell vectors:
Nd1 0.000 0.000 0.000
Sc1 0.184 0.684 0.500
Sc2 0.816 0.316 0.500
Si1 0.344 0.844 0.500
Si2 0.430 0.430 0.000
Si3 0.570 0.570 0.000
Si4 0.656 0.156 0.500

No. 8
Below is a relaxed structure of NdScSi, with properties calculated at the PBE level.

Computed properties:
Mass density in g cm⁻³: 4.73
Formation energy (no corrections) in eV/atom: -0.27
Offset from the most stable computed form in kJ/mol of atoms: 33.8

Cell: 7.794 7.794 7.794 Å, 145.33 145.33 49.85°
Sites, in units of the cell vectors:
Nd1 0.142 0.142 0.000
Nd2 0.858 0.858 0.000
Sc1 0.390 0.390 0.000
Sc2 0.610 0.610 0.000
Si1 0.000 0.500 0.500
Si2 0.500 0.000 0.500

| no. | total DFT energy (no corrections) (eV per atom) |
| --- | --- |
| 1 | -5.39 |
| 2 | -5.76 |
| 3 | -5.93 |
| 4 | -6.13 |
| 5 | -5.87 |
| 6 | -5.65 |
| 7 | -6.32 |
| 8 | -5.78 |